No. 1
## La2SbH3 (PBE-GGA)

Data for an optimized crystal structure of La2SbH3.

Calculated values
Total moment: 0.0000 μB per atom
Energy above the lowest structure with this stoichiometry: 0 meV/atom

Cell lengths 4.147, 8.185, 7.486 Å; angles 114.07, 90.00, 104.67 degrees
Positions (direct):
1 H 0.596 0.192 0.621
2 La 0.203 0.406 0.687
3 H 0.404 0.808 0.379
4 Sb 0.133 0.265 0.050
5 H 0.307 0.615 0.522
6 Sb 0.867 0.735 0.950
7 La 0.473 0.947 0.738
8 La 0.527 0.053 0.262
9 H 0.939 0.879 0.586
10 H 0.061 0.121 0.414
11 H 0.693 0.385 0.478
12 La 0.797 0.594 0.313

***

No. 2
## ScAsSe2N (PBE-GGA)

Data for an optimized crystal structure of ScAsSe2N.

Calculated values
Raw formation energy: 172 meV/atom
Total moment: 0.0000 μB per atom
Energy above the lowest structure with this stoichiometry: 1 meV/atom

Cell lengths 5.105, 5.105, 3.703 Å; angles 90.00, 90.00, 90.00 degrees
Positions (direct):
1 Se 0.500 0.000 0.000
2 Se 0.000 0.500 0.000
3 Sc 0.500 0.500 0.500
4 As 0.000 0.000 0.000
5 N 0.000 0.000 0.500

***

No. 3
## InMoPb2 (PBE-GGA)

Data for an optimized crystal structure of InMoPb2.

Calculated values
Total moment: 0.7481 μB per atom
ΔE_f: 0.696 eV/atom

Cell lengths 4.565, 4.699, 4.699 Å; angles 90.00, 90.00, 90.00 degrees
Positions (direct):
1 Pb 0.000 0.500 0.500
2 In 0.500 0.500 0.000
3 Pb 0.000 0.000 0.000
4 Mo 0.500 0.000 0.500

***

No. 4
## Li4Sn3Hg2 (PBE-GGA)

Data for an optimized crystal structure of Li4Sn3Hg2.

Calculated values
Total moment: 0.0000 μB per atom
Energy above the lowest structure with this stoichiometry: 0 meV/atom
ΔE_f: -0.274 eV/atom

Cell lengths 4.430, 5.114, 9.337 Å; angles 80.47, 89.71, 65.06 degrees
Positions (direct):
1 Hg 0.330 0.343 0.803
2 Li 0.332 0.337 0.112
3 Sn 0.668 0.668 0.563
4 Hg 0.670 0.657 0.197
5 Li 0.668 0.663 0.888
6 Li 0.997 0.011 0.680
7 Li 0.003 0.989 0.320
8 Sn 0.000 0.000 0.000
9 Sn 0.332 0.332 0.437

***

So what do the calculations give for E? Going down the list: -4.823; -5.083; -4.550; -2.526 eV/atom.